Entry 1:
PBE-GGA Mg2ZnSb, optimized geometry; energy relative to the elements, uncorrected = -0.3 eV/f.u.; total magnetic moment = 0.00 μB per cell
1.0
0.011 0.778 4.966
-2.739 3.729 1.966
-4.095 -1.053 2.718
Sb Mg Zn
1 2 1
Direct
0.500 0.500 0.500
0.250 0.250 0.250
0.750 0.750 0.750
0.000 0.000 0.000

***

Entry 2:
PBE-GGA Bi5Rh, optimized geometry; E_tot = -4.466 eV/atom; total magnetic moment = 0.00 μB per cell
1.0
-3.023 0.892 -1.305
-0.914 -4.231 -5.234
-4.741 -7.914 1.113
Bi Rh
5 1
Direct
0.672 0.912 0.744
0.941 0.480 0.638
0.670 0.520 0.140
0.306 0.001 0.388
0.940 0.087 0.033
0.305 0.500 0.889

***

Entry 3:
PBE-GGA K2OsCl, optimized geometry; energy relative to the elements, uncorrected = 3.3 eV/f.u.; total magnetic moment = 3.00 μB per cell
1.0
-4.570 -2.982 -1.307
-1.301 -4.584 2.963
-4.448 0.039 3.421
K Os Cl
2 1 1
Direct
0.250 0.250 0.250
0.000 0.000 0.000
0.750 0.750 0.750
0.500 0.500 0.500

***

Entry 4:
PBE-GGA Zr5Os, optimized geometry; E_tot = -9.149 eV/atom; total magnetic moment = 0.00 μB per cell
1.0
3.272 0.000 0.000
0.000 3.272 0.000
0.000 0.000 11.954
Zr Os
5 1
Direct
0.500 0.500 0.683
0.000 0.000 0.500
0.500 0.500 0.317
0.000 0.000 0.137
0.000 0.000 0.863
0.500 0.500 0.000

***

Entry 5:
PBE-GGA Ho8As3S3N, optimized geometry; energy relative to the elements, uncorrected = -23.6 eV/f.u.; total magnetic moment = 0.00 μB per cell
1.0
-4.073 4.306 5.146
2.279 -7.267 1.899
5.341 5.760 -0.592
S Ho As N
3 8 3 1
Direct
0.500 0.000 0.500
0.500 0.500 0.500
0.000 0.500 0.500
0.229 0.003 0.277
0.774 0.548 0.277
0.774 0.003 0.277
0.748 0.497 0.745
0.252 0.503 0.255
0.226 0.452 0.723
0.226 0.997 0.723
0.771 0.997 0.723
0.500 0.500 0.000
0.000 0.000 0.000
0.000 0.500 0.000
0.000 0.000 0.500

***

Entry 6:
PBE-GGA Tb3Dy6Er2, optimized geometry; E_tot = -4.315 eV/atom; total magnetic moment = 0.00 μB per cell
1.0
-3.693 -2.245 1.841
2.395 -4.039 -0.123
6.419 6.100 14.320
Dy Tb Er
6 3 2
Direct
0.121 0.621 0.242
0.304 0.304 0.608
0.696 0.696 0.392
0.621 0.121 0.242
0.879 0.379 0.758
0.379 0.879 0.758
0.000 0.000 0.000
0.200 0.200 0.401
0.800 0.800 0.599
0.454 0.454 0.908
0.546 0.546 0.092

***

Entry 7:
PBE-GGA RhSe4, optimized geometry; energy relative to the elements, uncorrected = 2.5 eV/f.u.; total magnetic moment = 0.00 μB per cell
1.0
4.863 0.000 0.000
0.000 4.863 0.000
0.000 0.000 4.863
Se Rh
4 1
Direct
0.000 0.000 0.000
0.000 0.500 0.500
0.500 0.500 0.000
0.500 0.000 0.500
0.500 0.500 0.500

***

Entry 8:
PBE-GGA AcCe2Ir9, optimized geometry; E_tot = -8.526 eV/atom; total magnetic moment = 0.00 μB per cell
1.0
5.391 0.000 0.000
2.696 4.669 0.000
2.696 1.556 8.842
Ce Ir Ac
2 9 1
Direct
0.861 0.861 0.418
0.139 0.139 0.582
0.667 0.667 0.998
0.500 0.500 0.500
0.416 0.918 0.249
0.333 0.333 0.002
0.584 0.082 0.751
0.584 0.584 0.751
0.416 0.416 0.249
0.082 0.584 0.751
0.918 0.416 0.249
0.000 0.000 0.000